Record 1
Entry from the Alexandria database: crystalline ZnAs4H8O16 at its relaxed geometry (PBE).

Results
final energy	-5.329	eV/atom
spin magnetization	1.993	μB per formula unit

Geometry as CIF:
```
data_ZnAs4H8O16
_space_group_name_H-M_alt 'P -1'
_space_group_IT_number 2
_cell_length_a 5.557
_cell_length_b 7.645
_cell_length_c 8.307
_cell_angle_alpha 97.42
_cell_angle_beta 92.88
_cell_angle_gamma 92.59
loop_
_space_group_symop_operation_xyz
'x,y,z'
'-x,-y,-z'
loop_
_atom_site_label
_atom_site_fract_x
_atom_site_fract_y
_atom_site_fract_z
Zn1 0.000 0.000 0.000
As1 0.099 0.298 0.755
As2 0.465 0.806 0.806
H1 0.044 0.601 0.822
H2 0.273 0.333 0.513
H3 0.332 0.449 0.267
H4 0.339 0.964 0.291
O1 0.067 0.512 0.201
O2 0.072 0.878 0.207
O3 0.125 0.272 0.544
O4 0.176 0.786 0.856
O5 0.320 0.151 0.035
O6 0.378 0.339 0.858
O7 0.472 0.391 0.319
O8 0.499 0.970 0.681
```


Record 2
Entry from the Alexandria database: crystalline AsHOs at its relaxed geometry (PBE).

Results
Fermi-level density of states	0.35	states/eV/cell
final energy	-6.163	eV/atom
spin magnetization	0.000	μB per formula unit

Geometry as CIF:
```
data_AsHOs
_space_group_name_H-M_alt 'I 4 m m'
_space_group_IT_number 107
_space_group_name_Hall 'I 4 -2'
_cell_length_a 3.167
_cell_length_b 3.167
_cell_length_c 7.450
_cell_angle_alpha 90.00
_cell_angle_beta 90.00
_cell_angle_gamma 90.00
loop_
_atom_site_label
_atom_site_fract_x
_atom_site_fract_y
_atom_site_fract_z
As1 0.000 0.000 0.000
H1 0.000 0.000 0.565
Os1 0.000 0.000 0.346
```


Record 3
Entry from the Alexandria database: crystalline As2HOs at its relaxed geometry (PBE).

Results
Fermi-level density of states	7.88	states/eV/cell
final energy	-5.420	eV/atom
spin magnetization	0.000	μB per formula unit

Geometry as CIF:
```
data_As2HOs
_space_group_name_H-M_alt 'F m -3 m'
_space_group_IT_number 225
_space_group_name_Hall '-F 4 2 3'
_cell_length_a 5.995
_cell_length_b 5.995
_cell_length_c 5.995
_cell_angle_alpha 90.00
_cell_angle_beta 90.00
_cell_angle_gamma 90.00
loop_
_atom_site_label
_atom_site_fract_x
_atom_site_fract_y
_atom_site_fract_z
As1 0.250 0.250 0.250
H1 0.000 0.000 0.000
Os1 0.000 0.000 0.500
```


Record 4
Entry from the Alexandria database: crystalline AsHOs at its relaxed geometry (PBE).

Results
Fermi-level density of states	0.57	states/eV/cell
final energy	-6.226	eV/atom
spin magnetization	0.000	μB per formula unit

Geometry as CIF:
```
data_AsHOs
_space_group_name_H-M_alt 'C 1 m 1'
_space_group_IT_number 8
_cell_length_a 8.441
_cell_length_b 3.021
_cell_length_c 3.021
_cell_angle_alpha 90.00
_cell_angle_beta 108.60
_cell_angle_gamma 90.00
loop_
_space_group_symop_operation_xyz
'x,y,z'
'x,-y,z'
'x+1/2,y+1/2,z'
'x+1/2,-y+1/2,z'
loop_
_atom_site_label
_atom_site_fract_x
_atom_site_fract_y
_atom_site_fract_z
As1 0.000 0.000 0.000
H1 0.281 0.000 0.596
Os1 0.176 0.500 0.646
```


Record 5
Entry from the Alexandria database: crystalline As3HOs at its relaxed geometry (PBE).

Results
Fermi-level density of states	1.79	states/eV/cell
final energy	-4.808	eV/atom
spin magnetization	0.000	μB per formula unit

Geometry as CIF:
```
data_As3HOs
_space_group_name_H-M_alt 'P m -3 m'
_space_group_IT_number 221
_space_group_name_Hall '-P 4 2 3'
_cell_length_a 4.142
_cell_length_b 4.142
_cell_length_c 4.142
_cell_angle_alpha 90.00
_cell_angle_beta 90.00
_cell_angle_gamma 90.00
loop_
_atom_site_label
_atom_site_fract_x
_atom_site_fract_y
_atom_site_fract_z
As1 0.000 0.000 0.500
H1 0.000 0.000 0.000
Os1 0.500 0.500 0.500
```


Record 6
Entry from the Alexandria database: crystalline AsHOs at its relaxed geometry (PBE).

Results
Fermi-level density of states	0.52	states/eV/cell
final energy	-6.256	eV/atom
spin magnetization	0.000	μB per formula unit

Geometry as CIF:
```
data_AsHOs
_space_group_name_H-M_alt 'P n m a'
_space_group_IT_number 62
_cell_length_a 5.764
_cell_length_b 3.079
_cell_length_c 8.446
_cell_angle_alpha 90.00
_cell_angle_beta 90.00
_cell_angle_gamma 90.00
loop_
_space_group_symop_operation_xyz
'x,y,z'
'-x,-y,-z'
'-x+1/2,-y,z+1/2'
'x+1/2,y,-z+1/2'
'x+1/2,-y+1/2,-z+1/2'
'-x+1/2,y+1/2,z+1/2'
'-x,y+1/2,-z'
'x,-y+1/2,z'
loop_
_atom_site_label
_atom_site_fract_x
_atom_site_fract_y
_atom_site_fract_z
As1 0.215 0.250 0.033
H1 0.021 0.250 0.739
Os1 0.148 0.750 0.805
```


Record 7
Entry from the Alexandria database: crystalline As2HOs at its relaxed geometry (PBE).

Results
Fermi-level density of states	7.41	states/eV/cell
final energy	-5.411	eV/atom
spin magnetization	0.000	μB per formula unit

Geometry as CIF:
```
data_As2HOs
_space_group_name_H-M_alt 'I -4 2 d'
_space_group_IT_number 122
_space_group_name_Hall 'I -4 2bw'
_cell_length_a 5.230
_cell_length_b 5.230
_cell_length_c 9.658
_cell_angle_alpha 90.00
_cell_angle_beta 90.00
_cell_angle_gamma 90.00
loop_
_atom_site_label
_atom_site_fract_x
_atom_site_fract_y
_atom_site_fract_z
As1 0.200 0.250 0.125
H1 0.000 0.000 0.000
Os1 0.000 0.000 0.500
```


Record 8
Entry from the Alexandria database: crystalline AsHOs3 at its relaxed geometry (PBE).

Results
Fermi-level density of states	3.68	states/eV/cell
final energy	-5.893	eV/atom
spin magnetization	2.214	μB per formula unit

Geometry as CIF:
```
data_AsHOs3
_space_group_name_H-M_alt 'P m -3 m'
_space_group_IT_number 221
_space_group_name_Hall '-P 4 2 3'
_cell_length_a 4.540
_cell_length_b 4.540
_cell_length_c 4.540
_cell_angle_alpha 90.00
_cell_angle_beta 90.00
_cell_angle_gamma 90.00
loop_
_atom_site_label
_atom_site_fract_x
_atom_site_fract_y
_atom_site_fract_z
As1 0.000 0.000 0.000
H1 0.500 0.500 0.500
Os1 0.000 0.000 0.500
```


Record 9
Entry from the Alexandria database: crystalline AsHOs at its relaxed geometry (PBE).

Results
Fermi-level density of states	3.03	states/eV/cell
final energy	-6.004	eV/atom
spin magnetization	0.000	μB per formula unit

Geometry as CIF:
```
data_AsHOs
_space_group_name_H-M_alt 'C 1 m 1'
_space_group_IT_number 8
_cell_length_a 5.002
_cell_length_b 2.896
_cell_length_c 5.423
_cell_angle_alpha 90.00
_cell_angle_beta 90.73
_cell_angle_gamma 90.00
loop_
_space_group_symop_operation_xyz
'x,y,z'
'x,-y,z'
'x+1/2,y+1/2,z'
'x+1/2,-y+1/2,z'
loop_
_atom_site_label
_atom_site_fract_x
_atom_site_fract_y
_atom_site_fract_z
As1 0.000 0.000 0.000
H1 0.326 0.000 0.473
Os1 0.160 0.500 0.643
```


Record 10
Entry from the Alexandria database: crystalline AsHOs at its relaxed geometry (PBE).

Results
Fermi-level density of states	1.45	states/eV/cell
final energy	-6.249	eV/atom
spin magnetization	0.000	μB per formula unit

Geometry as CIF:
```
data_AsHOs
_space_group_name_H-M_alt 'I m m 2'
_space_group_IT_number 44
_cell_length_a 3.086
_cell_length_b 3.127
_cell_length_c 7.718
_cell_angle_alpha 90.00
_cell_angle_beta 90.00
_cell_angle_gamma 90.00
loop_
_space_group_symop_operation_xyz
'x,y,z'
'-x,-y,z'
'-x,y,z'
'x,-y,z'
'x+1/2,y+1/2,z+1/2'
'-x+1/2,-y+1/2,z+1/2'
'-x+1/2,y+1/2,z+1/2'
'x+1/2,-y+1/2,z+1/2'
loop_
_atom_site_label
_atom_site_fract_x
_atom_site_fract_y
_atom_site_fract_z
As1 0.000 0.000 0.000
H1 0.000 0.000 0.354
Os1 0.000 0.500 0.252
```


Record 11
Entry from the Alexandria database: crystalline AsHOs at its relaxed geometry (PBE).

Results
Fermi-level density of states	2.02	states/eV/cell
final energy	-5.902	eV/atom
spin magnetization	0.000	μB per formula unit

Geometry as CIF:
```
data_AsHOs
_space_group_name_H-M_alt 'P m m m'
_space_group_IT_number 47
_cell_length_a 2.745
_cell_length_b 2.888
_cell_length_c 4.421
_cell_angle_alpha 90.00
_cell_angle_beta 90.00
_cell_angle_gamma 90.00
loop_
_space_group_symop_operation_xyz
'x,y,z'
'-x,-y,-z'
'-x,-y,z'
'x,y,-z'
'x,-y,-z'
'-x,y,z'
'-x,y,-z'
'x,-y,z'
loop_
_atom_site_label
_atom_site_fract_x
_atom_site_fract_y
_atom_site_fract_z
As1 0.000 0.000 0.000
H1 0.500 0.000 0.500
Os1 0.000 0.500 0.500
```


Record 12
Entry from the Alexandria database: crystalline AsHOs at its relaxed geometry (PBE).

Results
Fermi-level density of states	0.49	states/eV/cell
final energy	-5.987	eV/atom
spin magnetization	0.000	μB per formula unit

Geometry as CIF:
```
data_AsHOs
_space_group_name_H-M_alt 'C 1 m 1'
_space_group_IT_number 8
_cell_length_a 9.556
_cell_length_b 3.121
_cell_length_c 3.116
_cell_angle_alpha 90.00
_cell_angle_beta 107.81
_cell_angle_gamma 90.00
loop_
_space_group_symop_operation_xyz
'x,y,z'
'x,-y,z'
'x+1/2,y+1/2,z'
'x+1/2,-y+1/2,z'
loop_
_atom_site_label
_atom_site_fract_x
_atom_site_fract_y
_atom_site_fract_z
As1 0.000 0.000 0.000
H1 0.306 0.500 0.842
Os1 0.116 0.500 0.611
```